w:
The following is a DFT calculation (PBE) of MgMn2Be after structural relaxation.

Structure (POSCAR):
```
MgMn2Be
1.0
9.5071 0.0000 0.0000
0.0000 2.8443 0.0000
-1.9261 0.0000 3.8356
Mg Mn Be
2 4 2
Direct
0.0000 0.0000 0.0000 Mg
0.5000 0.5000 0.0000 Mg
0.2167 0.0000 0.7163 Mn
0.2833 0.5000 0.2837 Mn
0.7167 0.5000 0.7163 Mn
0.7833 0.0000 0.2837 Mn
0.0000 0.5000 0.5000 Be
0.5000 0.0000 0.5000 Be
```

Computed properties:
- D(E_F): 0.850 states/eV/atom
- Magnetic moment: 10.48 μB/cell



x:
The following is a DFT calculation (PBE) of MgMn2Be after structural relaxation.

Structure (POSCAR):
```
MgMn2Be
1.0
2.8787 0.0000 0.0000
0.0000 4.0396 0.0000
0.0000 0.0000 4.1555
Mg Mn Be
1 2 1
Direct
0.0000 0.0000 0.0000 Mg
0.0000 0.5000 0.5000 Mn
0.5000 0.0000 0.5000 Mn
0.5000 0.5000 0.0000 Be
```

Computed properties:
- D(E_F): 0.992 states/eV/atom
- Magnetic moment: 2.92 μB/cell



Name the most stable of them. w.



w:
The following is a DFT calculation (PBE) of MgMn2Be after structural relaxation.

Structure (POSCAR):
```
MgMn2Be
1.0
2.7789 0.0000 0.0000
0.0000 2.7789 0.0000
0.0000 0.0000 6.8760
Mg Mn Be
1 2 1
Direct
0.0000 0.0000 0.0000 Mg
0.5000 0.5000 0.3006 Mn
0.5000 0.5000 0.6994 Mn
0.0000 0.0000 0.5000 Be
```

Computed properties:
- D(E_F): 0.864 states/eV/atom
- Magnetic moment: 6.09 μB/cell



x:
The following is a DFT calculation (PBE) of MgMn2Be after structural relaxation.

Structure (POSCAR):
```
MgMn2Be
1.0
3.4556 0.0000 0.0000
0.0000 3.4556 0.0000
0.0000 0.0000 17.3391
Mg Mn Be
4 8 4
Direct
0.0000 0.0000 0.0000 Mg
0.0000 0.5000 0.2500 Mg
0.5000 0.0000 0.7500 Mg
0.5000 0.5000 0.5000 Mg
0.1824 0.7500 0.6250 Mn
0.2500 0.1824 0.3750 Mn
0.2500 0.3176 0.8750 Mn
0.3176 0.7500 0.1250 Mn
0.6824 0.2500 0.1250 Mn
0.7500 0.6824 0.8750 Mn
0.7500 0.8176 0.3750 Mn
0.8176 0.2500 0.6250 Mn
0.0000 0.0000 0.5000 Be
0.0000 0.5000 0.7500 Be
0.5000 0.0000 0.2500 Be
0.5000 0.5000 0.0000 Be
```

Computed properties:
- D(E_F): 0.786 states/eV/atom
- Magnetic moment: 0.00 μB/cell



Name the most stable of them. w.



w:
The following is a DFT calculation (PBE) of MgBeMo after structural relaxation.

Structure (POSCAR):
```
MgBeMo
1.0
3.4384 0.0000 0.0000
0.0000 4.1294 0.0000
0.0000 0.0000 12.4120
Mg Be Mo
4 4 4
Direct
0.0000 0.0000 0.0000 Mg
0.0000 0.5000 0.5000 Mg
0.5000 0.0000 0.5000 Mg
0.5000 0.5000 0.0000 Mg
0.0000 0.0000 0.3340 Be
0.0000 0.5000 0.8340 Be
0.5000 0.0000 0.8340 Be
0.5000 0.5000 0.3340 Be
0.0000 0.0000 0.6899 Mo
0.0000 0.5000 0.1899 Mo
0.5000 0.0000 0.1899 Mo
0.5000 0.5000 0.6899 Mo
```

Computed properties:
- D(E_F): 0.434 states/eV/atom
- Magnetic moment: 0.00 μB/cell



x:
The following is a DFT calculation (PBE) of MgBeMo after structural relaxation.

Structure (POSCAR):
```
MgBeMo
1.0
2.6936 0.0000 0.0000
0.0000 3.1656 0.0000
0.0000 0.0000 10.2648
Mg Be Mo
2 2 2
Direct
0.0000 0.0000 0.0000 Mg
0.5000 0.5000 0.5000 Mg
0.0000 0.0000 0.3331 Be
0.5000 0.5000 0.8331 Be
0.0000 0.0000 0.7036 Mo
0.5000 0.5000 0.2036 Mo
```

Computed properties:
- D(E_F): 0.607 states/eV/atom
- Magnetic moment: 0.00 μB/cell



Name the most stable of them. w.



w:
The following is a DFT calculation (PBE) of MgBe3Mo after structural relaxation.

Structure (POSCAR):
```
MgBe3Mo
1.0
4.0931 0.0000 0.0000
0.0000 4.0931 0.0000
0.0000 0.0000 4.0931
Mg Be Mo
1 3 1
Direct
0.0000 0.0000 0.0000 Mg
0.0000 0.0000 0.5000 Be
0.0000 0.5000 0.0000 Be
0.5000 0.0000 0.0000 Be
0.5000 0.5000 0.5000 Mo
```

Computed properties:
- D(E_F): 0.671 states/eV/atom
- Magnetic moment: 1.33 μB/cell



x:
The following is a DFT calculation (PBE) of MgBe3Mo after structural relaxation.

Structure (POSCAR):
```
MgBe3Mo
1.0
4.3354 0.0000 0.0000
0.0000 4.3354 0.0000
0.0000 0.0000 4.3354
Mg Be Mo
1 3 1
Direct
0.0000 0.0000 0.0000 Mg
0.0000 0.5000 0.5000 Be
0.5000 0.0000 0.5000 Be
0.5000 0.5000 0.0000 Be
0.5000 0.5000 0.5000 Mo
```

Computed properties:
- D(E_F): 0.445 states/eV/atom
- Magnetic moment: 0.00 μB/cell



Name the most stable of them. x.